Entry 1:
{
  "formula": "SrTaCu",
  "functional": "PBE-GGA",
  "state": "relaxed",
  "cell": [[-2.812, 9.029, 1.945], [-1.839, 0.199, -3.585], [-3.343, -1.394, 1.638]],
  "species": ["Sr", "Sr", "Cu", "Cu", "Ta", "Ta"],
  "fractional_positions": [[0.443, 0.995, 0.834], [0.792, 0.494, 0.335], [0.308, 0.494, 0.334], [0.926, 0.994, 0.835], [0.097, 0.995, 0.335], [0.138, 0.495, 0.835]],
  "formation_enthalpy_0k_mev_per_atom": 306,
  "dos_ef_per_ev_cell": 5.86,
  "final_energy_ev_per_atom": -5.570,
  "space_group": "Pmmn, No. 59",
  "m_tot_mub_per_atom": 0.000
}



Entry 2:
{
  "formula": "SrTaCu2",
  "functional": "PBE-GGA",
  "state": "relaxed",
  "cell": [[-3.246, -0.465, -0.147], [-0.121, -0.190, 3.273], [-1.038, 7.129, 0.374]],
  "species": ["Cu", "Cu", "Sr", "Ta"],
  "fractional_positions": [[0.000, 0.000, 0.937], [0.000, 0.000, 0.563], [0.500, 0.500, 0.250], [0.500, 0.500, 0.750]],
  "formation_enthalpy_0k_mev_per_atom": 264,
  "dos_ef_per_ev_cell": 2.38,
  "final_energy_ev_per_atom": -5.168,
  "space_group": "P4/mmm, No. 123",
  "m_tot_mub_per_atom": 0.000
}



Entry 3:
{
  "formula": "SrTa2Cu",
  "functional": "PBE-GGA",
  "state": "relaxed",
  "cell": [[2.806, 0.000, 0.000], [0.000, 5.237, 0.000], [0.000, 0.000, 5.632]],
  "species": ["Cu", "Sr", "Ta", "Ta"],
  "fractional_positions": [[0.500, 0.500, 0.250], [0.500, 0.500, 0.750], [0.000, 0.000, 0.005], [0.000, 0.000, 0.495]],
  "formation_enthalpy_0k_mev_per_atom": 1010,
  "dos_ef_per_ev_cell": 4.36,
  "final_energy_ev_per_atom": -6.361,
  "space_group": "Pmmm, No. 47",
  "m_tot_mub_per_atom": 0.000
}



Entry 4:
{
  "formula": "SrTaCu2",
  "functional": "PBE-GGA",
  "state": "relaxed",
  "cell": [[9.398, 0.014, 0.008], [8.880, 3.078, 0.008], [8.880, 1.502, 2.686]],
  "species": ["Cu", "Cu", "Sr", "Ta"],
  "fractional_positions": [[0.994, 0.994, 0.994], [0.265, 0.265, 0.265], [0.506, 0.506, 0.506], [0.735, 0.735, 0.735]],
  "formation_enthalpy_0k_mev_per_atom": 688,
  "dos_ef_per_ev_cell": 3.22,
  "final_energy_ev_per_atom": -4.743,
  "space_group": "R3m, No. 160",
  "m_tot_mub_per_atom": 0.000
}